Density functional theory data (GGA-PBE) for crystalline KSc2Re at its relaxed geometry.

The structure belongs to space group I4_1/amd (No. 141, origin choice 2); the cell edges are 7.8083, 7.8083 and 11.0726 Å and the angles 90.00°, 90.00° and 90.00°. The asymmetric unit holds K at (0.0000, 0.2500, 0.3750), Sc at (0.0000, 0.0000, 0.0000) and Re at (0.0000, 0.2500, 0.8750).

For the calculated density, the calculation gives 3.10 g cm⁻³. The total energy is -90.22 eV per cell. Its magnetization is 0.00 μB per formula unit.

---

Density functional theory data (GGA-PBE) for crystalline KScRe2 at its relaxed geometry.

The structure belongs to space group P4/mmm (No. 123); the cell edges are 2.7142, 2.7142 and 10.4987 Å and the angles 90.00°, 90.00° and 90.00°. The asymmetric unit holds K at (0.0000, 0.0000, 0.0000), Sc at (0.0000, 0.0000, 0.5000) and Re at (0.5000, 0.5000, 0.2839).

For the calculated density, the calculation gives 9.80 g cm⁻³. The total energy is -29.03 eV per cell. Its magnetization is 0.00 μB per formula unit.

---

Density functional theory data (GGA-PBE) for crystalline K2ScRe at its relaxed geometry.

The structure belongs to space group P2/m (No. 10); the cell edges are 2.9638, 6.3869 and 5.2594 Å and the angles 90.00°, 91.59° and 90.00°. The asymmetric unit holds K at (0.2345, 0.0000, 0.2423), Sc at (0.0000, 0.5000, 0.5000) and Re at (0.5000, 0.5000, 0.0000).

For the calculated density, the calculation gives 5.16 g cm⁻³. The total energy is -16.25 eV per cell. Its magnetization is 0.00 μB per formula unit.